Record 1
Below is AcInS2O8 after structural relaxation, with properties calculated at the GGA-PBE level.

POSCAR file:
```
AcInS2O8
1.0
5.362 0.000 0.000
-2.681 4.644 0.000
0.000 0.000 8.682
O S In Ac
8 2 1 1
direct
0.819 0.181 0.267
0.819 0.637 0.267
0.181 0.363 0.733
0.333 0.667 0.505
0.667 0.333 0.495
0.637 0.819 0.733
0.181 0.819 0.733
0.363 0.181 0.267
0.667 0.333 0.321
0.333 0.667 0.679
0.000 0.000 0.000
0.000 0.000 0.500
```

Calculated values
Its space-group type is P-3m1, No. 164. Its uncorrected energy is -6.44 eV per atom. Its raw formation energy is -1.881 eV per atom.


Record 2
Below is AcInSb2O8 after structural relaxation, with properties calculated at the GGA-PBE level.

POSCAR file:
```
AcInSb2O8
1.0
-1.679 1.585 5.917
-3.068 -5.032 -2.369
6.169 -1.504 0.167
Ac O Sb In
1 8 2 1
direct
0.250 0.750 0.500
0.301 0.126 0.824
0.931 0.624 0.693
0.523 0.699 0.824
0.301 0.477 0.176
0.376 0.069 0.307
0.762 0.069 0.693
0.874 0.699 0.176
0.931 0.238 0.307
0.500 0.500 0.000
0.750 0.250 0.500
0.000 0.000 0.000
```

Calculated values
Its space-group type is I-4m2, No. 119. Its uncorrected energy is -6.24 eV per atom. Its raw formation energy is -1.673 eV per atom.


Record 3
Below is AcInSbO6 after structural relaxation, with properties calculated at the GGA-PBE level.

POSCAR file:
```
AcInSbO6
1.0
-4.671 2.976 0.073
2.192 -1.832 4.746
5.714 8.948 0.815
O Ac In Sb
12 2 2 2
direct
0.024 0.645 0.357
0.379 0.355 0.857
0.645 0.621 0.643
0.645 0.024 0.857
0.024 0.379 0.143
0.355 0.379 0.357
0.976 0.355 0.643
0.621 0.645 0.143
0.355 0.976 0.143
0.621 0.976 0.357
0.379 0.024 0.643
0.976 0.621 0.857
0.000 0.000 0.000
0.000 0.000 0.500
0.667 0.333 0.250
0.333 0.667 0.750
0.667 0.333 0.750
0.333 0.667 0.250
```

Calculated values
Its space-group type is P-31c, No. 163. Its uncorrected energy is -6.44 eV per atom. Its raw formation energy is -1.914 eV per atom.


Record 4
Below is AcIn2SeO8 after structural relaxation, with properties calculated at the GGA-PBE level.

POSCAR file:
```
AcIn2SeO8
1.0
-4.630 -0.096 -1.015
-0.717 -3.006 3.697
-1.054 5.511 4.280
O In Ac Se
8 2 1 1
direct
0.306 0.247 0.000
0.532 0.741 0.500
0.155 0.797 0.809
0.468 0.259 0.500
0.845 0.203 0.191
0.845 0.204 0.809
0.694 0.753 0.000
0.155 0.796 0.191
0.500 0.500 0.774
0.500 0.500 0.226
0.000 0.000 0.500
0.000 0.000 0.000
```

Calculated values
Its space-group type is P2/m, No. 10. Its uncorrected energy is -5.75 eV per atom. Its raw formation energy is -1.359 eV per atom.


| no. | V (Å³/atom) |
| --- | --- |
| 1 | 18.014 |
| 2 | 16.339 |
| 3 | 15.719 |
| 4 | 13.435 |